! GGA+U Li3VF6, relaxed; values from VASP
! - Energy: -107.291 eV per cell
! - Density of states at the Fermi level: 0.000 states/eV/atom
! - Space-group type: No. 4
! - Distance to the lowest polymorph of the same formula: 17 meV per atom
! - Mass density: 2.6 g/cm3
&SYSTEM
  ibrav = 0, nat = 20, ntyp = 3
/
ATOMIC_SPECIES
F 19.00 F.upf
Li 6.94 Li.upf
V 50.94 V.upf
ATOMIC_POSITIONS angstrom
F 2.967 1.896 1.728
F 0.292 1.611 1.576
F 5.750 1.926 1.536
F 7.478 5.770 4.040
F 1.466 4.336 1.749
F 8.974 3.354 3.763
F 4.463 4.311 2.005
F 3.064 2.899 4.239
F 4.803 6.055 4.192
F 1.239 5.739 4.232
F 7.576 4.766 1.529
F 5.977 3.330 4.019
Li 6.004 5.353 2.566
Li 7.549 2.269 4.374
Li 3.038 5.396 1.393
Li 1.517 2.732 0.680
Li 1.492 2.312 3.202
Li 6.028 4.933 5.088
V 4.480 2.564 2.910
V 8.991 5.101 2.858
CELL_PARAMETERS angstrom
9.022 0.000 0.000
0.000 5.253 0.508
0.000 2.412 5.260